The following is a PBE calculation of an optimized crystal structure of PmYSc, from OQMD. Values from VASP.

Polymorph energy (0 for the lowest one) (eV/atom): 0.0000
Total DFT energy (no corrections) (eV/atom): -5.168

Quantum ESPRESSO input file:
```
&SYSTEM
  ibrav = 0, nat = 3, ntyp = 3
/
ATOMIC_SPECIES
Pm 145.00 Pm.upf
Y 88.91 Y.upf
Sc 44.96 Sc.upf
CELL_PARAMETERS angstrom
-1.010 -4.006 -3.300
-4.956 -1.741 -0.606
-2.580 0.891 -4.528
ATOMIC_POSITIONS angstrom
Pm -2.137 -1.214 -2.108
Y -6.410 -3.642 -6.325
Sc 0.000 0.000 0.000
```